[1]
# Sr4Pr3Pb3N2 PBE relaxed
# VASP energy: -4.72 eV per atom
# density: 6.89 g/cm³
data_Sr4Pr3Pb3N2
_chemical_formula_sum 'Sr8 Pr6 Pb6 N4'
_cell_length_a 5.204
_cell_length_b 25.825
_cell_length_c 5.100
_cell_angle_alpha 90.00
_cell_angle_beta 90.00
_cell_angle_gamma 90.00
_symmetry_space_group_name_H-M 'C m m m'
_symmetry_Int_Tables_number 65
_symmetry_space_group_name_Hall '-C 2 2'
loop_
_atom_site_label
_atom_site_fract_x
_atom_site_fract_y
_atom_site_fract_z
Sr1 0.000 0.097 0.000
Sr2 0.000 0.400 0.500
Pr1 0.000 0.000 0.500
Pr2 0.000 0.195 0.500
Pb1 0.000 0.304 0.000
Pb2 0.000 0.500 0.000
N1 0.000 0.101 0.500



[2]
# Sr4Pr3Pb3N2 PBE relaxed
# VASP energy: -4.77 eV per atom
# density: 6.84 g/cm³
data_Sr4Pr3Pb3N2
_chemical_formula_sum 'Sr8 Pr6 Pb6 N4'
_cell_length_a 5.138
_cell_length_b 26.390
_cell_length_c 5.095
_cell_angle_alpha 90.00
_cell_angle_beta 90.00
_cell_angle_gamma 90.00
_symmetry_space_group_name_H-M 'C m m m'
_symmetry_Int_Tables_number 65
_symmetry_space_group_name_Hall '-C 2 2'
loop_
_atom_site_label
_atom_site_fract_x
_atom_site_fract_y
_atom_site_fract_z
Sr1 0.000 0.098 0.000
Sr2 0.000 0.201 0.500
Pr1 0.000 0.000 0.500
Pr2 0.000 0.397 0.500
Pb1 0.000 0.311 0.000
Pb2 0.000 0.500 0.000
N1 0.000 0.094 0.500



[3]
# Sr2Pr5Pb3N2 PBE relaxed
# VASP energy: -5.36 eV per atom
# density: 7.37 g/cm³
data_Sr2Pr5Pb3N2
_chemical_formula_sum 'Sr4 Pr10 Pb6 N4'
_cell_length_a 5.130
_cell_length_b 26.839
_cell_length_c 5.004
_cell_angle_alpha 90.00
_cell_angle_beta 90.00
_cell_angle_gamma 90.00
_symmetry_space_group_name_H-M 'C m m m'
_symmetry_Int_Tables_number 65
_symmetry_space_group_name_Hall '-C 2 2'
loop_
_atom_site_label
_atom_site_fract_x
_atom_site_fract_y
_atom_site_fract_z
Sr1 0.000 0.200 0.000
Pr1 0.000 0.000 0.000
Pr2 0.000 0.097 0.500
Pr3 0.000 0.401 0.000
Pb1 0.000 0.317 0.500
Pb2 0.000 0.500 0.500
N1 0.000 0.094 0.000



Q: Which value of density does entry 1 give?
A: 6.89 g/cm³



Q: The lowest density belongs to which entry?
A: number 2



Repeat the second record exactly.
# Sr4Pr3Pb3N2 PBE relaxed
# VASP energy: -4.77 eV per atom
# density: 6.84 g/cm³
data_Sr4Pr3Pb3N2
_chemical_formula_sum 'Sr8 Pr6 Pb6 N4'
_cell_length_a 5.138
_cell_length_b 26.390
_cell_length_c 5.095
_cell_angle_alpha 90.00
_cell_angle_beta 90.00
_cell_angle_gamma 90.00
_symmetry_space_group_name_H-M 'C m m m'
_symmetry_Int_Tables_number 65
_symmetry_space_group_name_Hall '-C 2 2'
loop_
_atom_site_label
_atom_site_fract_x
_atom_site_fract_y
_atom_site_fract_z
Sr1 0.000 0.098 0.000
Sr2 0.000 0.201 0.500
Pr1 0.000 0.000 0.500
Pr2 0.000 0.397 0.500
Pb1 0.000 0.311 0.000
Pb2 0.000 0.500 0.000
N1 0.000 0.094 0.500